Record 1
The following is a DFT calculation (PBE) of Dy2Tm8Hg after structural relaxation.

Results
SG ... No. 12
Crystal system ... monoclinic

abc: 5.4638 6.2805 9.9416
angles: 84.61 105.95 90.00
Closest atoms and distances in Å follow each position.
Sites, in units of the cell vectors:
Dy1 0.7559 0.3309 0.5119  9 Tm 3.37-3.72, 2 Dy 3.45
Dy2 0.2441 0.6691 0.4881  9 Tm 3.37-3.72, 2 Dy 3.45
Tm1 0.4225 0.6038 0.8450  1 Hg 3.02, 3 Tm 3.12-3.29
Tm2 0.1552 0.1998 0.3104  5 Tm 3.29-3.54, 4 Dy 3.49-3.59
Tm3 0.5775 0.3962 0.1550  1 Hg 3.02, 3 Tm 3.12-3.29
Tm4 0.0446 0.7326 0.0891  2 Hg 3.28, 6 Tm 3.47-3.66
Tm5 0.3412 0.1265 0.6825  1 Hg 3.06, 2 Dy 3.37, 2 Tm 3.41
Tm6 0.8448 0.8002 0.6896  5 Tm 3.29-3.54, 4 Dy 3.49-3.59
Tm7 0.6588 0.8735 0.3175  1 Hg 3.06, 2 Dy 3.37, 2 Tm 3.41
Tm8 0.9554 0.2674 0.9109  2 Hg 3.28, 6 Tm 3.47-3.66
Hg1 0.5000 0.0000 0.0000  8 Tm 3.02-3.28


Record 2
The following is a DFT calculation (PBE) of Dy12TmHg6 after structural relaxation.

Results
SG ... No. 148
Crystal system ... trigonal

abc: 8.9741 8.9741 8.9741
angles: 110.62 110.62 110.62
Closest atoms and distances in Å follow each position.
Sites, in units of the cell vectors:
Hg1 0.4579 0.6339 0.9504  1 Hg 3.07, 6 Dy 3.09-3.41
Hg2 0.3661 0.0496 0.5421  1 Hg 3.07, 6 Dy 3.09-3.41
Hg3 0.6339 0.9504 0.4579  1 Hg 3.07, 6 Dy 3.09-3.41
Hg4 0.5421 0.3661 0.0496  1 Hg 3.07, 6 Dy 3.09-3.41
Hg5 0.9504 0.4579 0.6339  1 Hg 3.07, 6 Dy 3.09-3.41
Hg6 0.0496 0.5421 0.3661  1 Hg 3.07, 6 Dy 3.09-3.41
Dy1 0.9169 0.7983 0.2611  4 Hg 3.18-3.41, 5 Dy 3.27-3.56, 1 Tm 3.55
Dy2 0.0831 0.2017 0.7389  4 Hg 3.18-3.41, 5 Dy 3.27-3.56, 1 Tm 3.55
Dy3 0.7057 0.5303 0.7849  2 Hg 3.09-3.29, 4 Dy 3.27-3.39, 1 Tm 3.36
Dy4 0.5303 0.7849 0.7057  2 Hg 3.09-3.29, 4 Dy 3.27-3.39, 1 Tm 3.36
Dy5 0.2017 0.7389 0.0831  4 Hg 3.18-3.41, 5 Dy 3.27-3.56, 1 Tm 3.55
Dy6 0.2611 0.9169 0.7983  4 Hg 3.18-3.41, 5 Dy 3.27-3.56, 1 Tm 3.55
Dy7 0.2151 0.2943 0.4697  2 Hg 3.09-3.29, 4 Dy 3.27-3.39, 1 Tm 3.36
Dy8 0.4697 0.2151 0.2943  2 Hg 3.09-3.29, 4 Dy 3.27-3.39, 1 Tm 3.36
Dy9 0.2943 0.4697 0.2151  2 Hg 3.09-3.29, 4 Dy 3.27-3.39, 1 Tm 3.36
Dy10 0.7983 0.2611 0.9169  4 Hg 3.18-3.41, 5 Dy 3.27-3.56, 1 Tm 3.55
Dy11 0.7849 0.7057 0.5303  2 Hg 3.09-3.29, 4 Dy 3.27-3.39, 1 Tm 3.36
Dy12 0.7389 0.0831 0.2017  4 Hg 3.18-3.41, 5 Dy 3.27-3.56, 1 Tm 3.55
Tm1 0.0000 0.0000 0.0000  12 Dy 3.36-3.55


Record 3
The following is a DFT calculation (PBE) of DyTmZnHg after structural relaxation.

Results
SG ... No. 99
Crystal system ... tetragonal
Distance to the lowest polymorph of the same formula ... 0 meV per atom

abc: 3.5825 3.5825 7.3794
angles: 90.00 90.00 90.00
Closest atoms and distances in Å follow each position.
Sites, in units of the cell vectors:
Zn1 0.5000 0.5000 0.6002  4 Tm 3.04, 4 Dy 3.09
Tm1 0.0000 0.0000 0.3730  4 Zn 3.04, 4 Hg 3.17
Hg1 0.5000 0.5000 0.1142  4 Tm 3.17, 4 Dy 3.24
Dy1 0.0000 0.0000 0.8406  4 Zn 3.09, 4 Hg 3.24, 1 Tm 3.45


Record 4
The following is a DFT calculation (PBE) of DyTmZnHg after structural relaxation.

Results
SG ... No. 216
Crystal system ... cubic
Distance to the lowest polymorph of the same formula ... 17 meV per atom

abc: 5.1353 5.1353 5.1353
angles: 60.00 60.00 60.00
Closest atoms and distances in Å follow each position.
Sites, in units of the cell vectors:
Dy1 0.7500 0.7500 0.7500  4 Hg 3.14, 4 Zn 3.14
Zn1 0.0000 0.0000 0.0000  4 Dy 3.14, 4 Tm 3.14
Hg1 0.5000 0.5000 0.5000  4 Tm 3.14, 4 Dy 3.14
Tm1 0.2500 0.2500 0.2500  4 Hg 3.14, 4 Zn 3.14


Record 5
The following is a DFT calculation (PBE) of Dy2VHg after structural relaxation.

Results
SG ... No. 123
Crystal system ... tetragonal

abc: 3.6265 3.6265 7.4186
angles: 90.00 90.00 90.00
Closest atoms and distances in Å follow each position.
Sites, in units of the cell vectors:
V1 0.5000 0.5000 0.0000  8 Dy 3.09
Hg1 0.5000 0.5000 0.5000  8 Dy 3.24, 4 Hg 3.63
Dy1 0.0000 0.0000 0.7668  4 V 3.09, 4 Hg 3.24, 1 Dy 3.46
Dy2 0.0000 0.0000 0.2332  4 V 3.09, 4 Hg 3.24, 1 Dy 3.46


Record 6
The following is a DFT calculation (PBE) of Dy4YHg after structural relaxation.

Results
SG ... No. 15
Crystal system ... monoclinic
Distance to the lowest polymorph of the same formula ... 95 meV per atom

abc: 6.3564 8.9963 8.1915
angles: 113.23 99.73 113.49
Closest atoms and distances in Å follow each position.
Sites, in units of the cell vectors:
Hg1 0.7493 0.9993 0.9986  8 Dy 3.16-3.29, 2 Hg 3.18
Hg2 0.2507 0.0007 0.0014  8 Dy 3.16-3.29, 2 Hg 3.18
Dy1 0.0375 0.1598 0.7561  5 Dy 3.27-3.64, 2 Hg 3.28-3.29, 2 Y 3.47-3.50
Dy2 0.3667 0.9103 0.6233  2 Hg 3.16-3.17, 3 Dy 3.27-3.33
Dy3 0.2434 0.2869 0.3767  2 Hg 3.16-3.17, 3 Dy 3.27-3.33
Dy4 0.2186 0.5963 0.7561  5 Dy 3.27-3.64, 2 Hg 3.28-3.29, 2 Y 3.47-3.50
Dy5 0.6333 0.0897 0.3767  2 Hg 3.16-3.17, 3 Dy 3.27-3.33
Dy6 0.7566 0.7131 0.6233  2 Hg 3.16-3.17, 3 Dy 3.27-3.33
Dy7 0.9625 0.8402 0.2439  5 Dy 3.27-3.64, 2 Hg 3.28-3.29, 2 Y 3.47-3.50
Dy8 0.7814 0.4037 0.2439  5 Dy 3.27-3.64, 2 Hg 3.28-3.29, 2 Y 3.47-3.50
Y1 0.6588 0.4088 0.8175  10 Dy 3.47-3.86
Y2 0.3412 0.5912 0.1825  10 Dy 3.47-3.86


no.,total magnetization (μB per cell),ΔH_f (0 K) (eV per atom)
1,0.00,-0.05
2,0.00,-0.18
3,0.00,-0.41
4,0.00,-0.40
5,3.13,-0.06
6,0.00,-0.05